1.
First-principles (PBE-GGA) data for a relaxed structure of PmBIrRh, as listed in Alexandria via LeMat-Bulk.

Output
Crystal system = orthorhombic
Formation enthalpy at 0 K = -0.424 eV/atom
Spin magnetization = 0.000 μB per atom
Calculated density = 11.1 Mg/m³

Cell lengths 3.702, 3.955, 9.193 Å; angles 90.00, 90.00, 90.00 degrees
Space group Imm2 (No. 44)
Symmetry-distinct sites (fractional):
Pm (0.000, 0.000, 0.000) [2 per cell]
B (0.000, 0.500, 0.250) [2 per cell]
Ir (0.000, 0.000, 0.645) [2 per cell]
Rh (0.000, 0.000, 0.349) [2 per cell]



2.
First-principles (PBE-GGA) data for a relaxed structure of CaAc4Pd2, as listed in Alexandria via LeMat-Bulk.

Output
Crystal system = triclinic
Formation enthalpy at 0 K = -0.333 eV/atom
Energy above the lowest structure with this stoichiometry = 56 meV/atom
Spin magnetization = 0.000 μB per atom
Calculated density = 7.1 Mg/m³

Cell lengths 8.033, 8.219, 8.973 Å; angles 105.29, 105.81, 95.04 degrees
Space group P1 (No. 1)
Symmetry-distinct sites (fractional):
Ca (0.000, 0.000, 0.000) [1 per cell]
Ca (0.020, 0.979, 0.495) [1 per cell]
Ac (0.270, 0.316, 0.405) [1 per cell]
Ac (0.295, 0.297, 0.891) [1 per cell]
Ac (0.295, 0.766, 0.249) [1 per cell]
Ac (0.303, 0.784, 0.785) [1 per cell]
Ac (0.693, 0.712, 0.593) [1 per cell]
Ac (0.709, 0.194, 0.224) [1 per cell]
Ac (0.749, 0.645, 0.105) [1 per cell]
Ac (0.763, 0.255, 0.738) [1 per cell]
Pd (0.007, 0.381, 0.096) [1 per cell]
Pd (0.411, 0.014, 0.598) [1 per cell]
Pd (0.506, 0.480, 0.251) [1 per cell]
Pd (0.514, 0.505, 0.753) [1 per cell]



3.
First-principles (PBE-GGA) data for a relaxed structure of HfP2PdS, as listed in Alexandria via LeMat-Bulk.

Output
Crystal system = tetragonal
Energy above the lowest structure with this stoichiometry = 0 meV/atom
Energy relative to the elements, uncorrected = 0.37 eV/atom
Spin magnetization = 0.000 μB per atom
Calculated density = 5.3 Mg/m³

Cell lengths 4.979, 4.979, 4.807 Å; angles 90.00, 90.00, 90.00 degrees
Space group P4/mmm (No. 123)
Symmetry-distinct sites (fractional):
Hf (0.000, 0.000, 0.000) [1 per cell]
P (0.000, 0.500, 0.000) [2 per cell]
Pd (0.500, 0.500, 0.500) [1 per cell]
S (0.000, 0.000, 0.500) [1 per cell]



4.
First-principles (PBE-GGA) data for a relaxed structure of La2MnInN, as listed in Alexandria via LeMat-Bulk.

Output
Crystal system = tetragonal
Energy relative to the elements, uncorrected = -0.61 eV/atom
Spin magnetization = 0.650 μB per atom
Calculated density = 6.7 Mg/m³

Cell lengths 5.363, 5.363, 3.956 Å; angles 90.00, 90.00, 90.00 degrees
Space group P4/mmm (No. 123)
Symmetry-distinct sites (fractional):
La (0.000, 0.500, 0.000) [2 per cell]
Mn (0.000, 0.000, 0.500) [1 per cell]
In (0.500, 0.500, 0.500) [1 per cell]
N (0.000, 0.000, 0.000) [1 per cell]



5.
First-principles (PBE-GGA) data for a relaxed structure of Er3Zr, as listed in Alexandria via LeMat-Bulk.

Output
Crystal system = tetragonal
Formation enthalpy at 0 K = 0.075 eV/atom
Energy above the lowest structure with this stoichiometry = 20 meV/atom
Spin magnetization = 0.000 μB per atom
Calculated density = 8.8 Mg/m³

Cell lengths 4.834, 4.834, 9.620 Å; angles 90.00, 90.00, 90.00 degrees
Space group I4/mmm (No. 139)
Symmetry-distinct sites (fractional):
Er (0.000, 0.000, 0.000) [2 per cell]
Er (0.000, 0.500, 0.250) [4 per cell]
Zr (0.000, 0.000, 0.500) [2 per cell]



6.
First-principles (PBE-GGA) data for a relaxed structure of Er2Ga3Ag, as listed in Alexandria via LeMat-Bulk.

Output
Crystal system = orthorhombic
Formation enthalpy at 0 K = -0.558 eV/atom
Spin magnetization = 0.000 μB per atom
Calculated density = 8.8 Mg/m³

Cell lengths 7.164, 8.902, 15.474 Å; angles 90.00, 90.00, 90.00 degrees
Space group Fmmm (No. 69)
Symmetry-distinct sites (fractional):
Er (0.245, 0.000, 0.000) [8 per cell]
Er (0.250, 0.250, 0.250) [8 per cell]
Ga (0.000, 0.000, 0.336) [8 per cell]
Ga (0.000, 0.247, 0.418) [16 per cell]
Ag (0.000, 0.000, 0.168) [8 per cell]



7.
First-principles (PBE-GGA) data for a relaxed structure of CaBeCuAu6, as listed in Alexandria via LeMat-Bulk.

Output
Crystal system = orthorhombic
Formation enthalpy at 0 K = -0.187 eV/atom
Spin magnetization = 0.000 μB per atom
Calculated density = 12.7 Mg/m³

Cell lengths 6.946, 8.730, 11.124 Å; angles 90.00, 90.00, 90.00 degrees
Space group Imma (No. 74)
Symmetry-distinct sites (fractional):
Ca (0.000, 0.250, 0.210) [4 per cell]
Be (0.000, 0.000, 0.000) [4 per cell]
Cu (0.250, 0.250, 0.750) [4 per cell]
Au (0.000, 0.250, 0.486) [4 per cell]
Au (0.000, 0.250, 0.926) [4 per cell]
Au (0.213, 0.001, 0.375) [16 per cell]



8.
First-principles (PBE-GGA) data for a relaxed structure of AcLaTl4, as listed in Alexandria via LeMat-Bulk.

Output
Crystal system = cubic
Formation enthalpy at 0 K = -0.229 eV/atom
Energy above the lowest structure with this stoichiometry = 104 meV/atom
Spin magnetization = 0.000 μB per atom
Calculated density = 10.6 Mg/m³

Cell lengths 9.056, 9.056, 9.056 Å; angles 90.00, 90.00, 90.00 degrees
Space group F-43m (No. 216)
Symmetry-distinct sites (fractional):
Ac (0.000, 0.000, 0.000) [4 per cell]
La (0.250, 0.250, 0.250) [4 per cell]
Tl (0.125, 0.125, 0.625) [16 per cell]



9.
First-principles (PBE-GGA) data for a relaxed structure of Li2RuN2, as listed in Alexandria via LeMat-Bulk.

Output
Crystal system = trigonal
Energy above the lowest structure with this stoichiometry = 69 meV/atom
Energy relative to the elements, uncorrected = -0.07 eV/atom
Spin magnetization = 0.298 μB per atom
Calculated density = 5.2 Mg/m³

Cell lengths 3.1442, 3.1442, 5.3079 Å; angles 90.00, 90.00, 120.00 degrees
Space group P-3m1 (No. 164)
Symmetry-distinct sites (fractional):
Li (0.3333, 0.6667, 0.1382) [2 per cell]
Ru (0.0000, 0.0000, 0.5000) [1 per cell]
N (0.3333, 0.6667, 0.7157) [2 per cell]



10.
First-principles (PBE-GGA) data for a relaxed structure of ZnSe2IBr, as listed in Alexandria via LeMat-Bulk.

Output
Crystal system = tetragonal
Energy above the lowest structure with this stoichiometry = 377 meV/atom
Energy relative to the elements, uncorrected = 0.64 eV/atom
Spin magnetization = 0.000 μB per atom
Calculated density = 4.2 Mg/m³

Cell lengths 5.423, 5.423, 5.777 Å; angles 90.00, 90.00, 90.00 degrees
Space group P4/mmm (No. 123)
Symmetry-distinct sites (fractional):
Zn (0.000, 0.000, 0.000) [1 per cell]
Se (0.000, 0.500, 0.500) [2 per cell]
I (0.500, 0.500, 0.500) [1 per cell]
Br (0.500, 0.500, 0.000) [1 per cell]



11.
First-principles (PBE-GGA) data for a relaxed structure of LiCdSb2Mo, as listed in Alexandria via LeMat-Bulk.

Output
Crystal system = tetragonal
Energy relative to the elements, uncorrected = 0.81 eV/atom
Spin magnetization = 0.701 μB per atom
Calculated density = 6.6 Mg/m³

Cell lengths 4.954, 4.954, 4.716 Å; angles 90.00, 90.00, 90.00 degrees
Space group P4/mmm (No. 123)
Symmetry-distinct sites (fractional):
Li (0.000, 0.000, 0.000) [1 per cell]
Cd (0.000, 0.000, 0.500) [1 per cell]
Sb (0.000, 0.500, 0.000) [2 per cell]
Mo (0.500, 0.500, 0.500) [1 per cell]



12.
First-principles (PBE-GGA) data for a relaxed structure of NiAg3C, as listed in Alexandria via LeMat-Bulk.

Output
Crystal system = cubic
Formation enthalpy at 0 K = 2.064 eV/atom
Energy above the lowest structure with this stoichiometry = 1108 meV/atom
Spin magnetization = 0.413 μB per atom
Calculated density = 6.0 Mg/m³

Cell lengths 4.766, 4.766, 4.766 Å; angles 90.00, 90.00, 90.00 degrees
Space group Pm-3m (No. 221)
Symmetry-distinct sites (fractional):
Ni (0.000, 0.000, 0.000) [1 per cell]
Ag (0.000, 0.000, 0.500) [3 per cell]
C (0.500, 0.500, 0.500) [1 per cell]



13.
First-principles (PBE-GGA) data for a relaxed structure of Sm6P2SeS3, as listed in Alexandria via LeMat-Bulk.

Output
Crystal system = monoclinic
Energy relative to the elements, uncorrected = -1.89 eV/atom
Spin magnetization = 0.000 μB per atom
Calculated density = 6.6 Mg/m³

Cell lengths 17.747, 4.066, 8.158 Å; angles 90.00, 102.95, 90.00 degrees
Space group C2/m (No. 12)
Symmetry-distinct sites (fractional):
Sm (0.004, 0.000, 0.264) [4 per cell]
Sm (0.169, 0.500, 0.579) [4 per cell]
Sm (0.172, 0.500, 0.095) [4 per cell]
P (0.167, 0.000, 0.333) [4 per cell]
Se (0.000, 0.500, 0.000) [2 per cell]
S (0.000, 0.500, 0.500) [2 per cell]
S (0.164, 0.000, 0.835) [4 per cell]



14.
First-principles (PBE-GGA) data for a relaxed structure of HoTh5Se6, as listed in Alexandria via LeMat-Bulk.

Output
Crystal system = monoclinic
Energy relative to the elements, uncorrected = -1.57 eV/atom
Spin magnetization = 0.000 μB per atom
Calculated density = 9.6 Mg/m³

Cell lengths 7.264, 12.526, 7.226 Å; angles 90.00, 109.39, 90.00 degrees
Space group C2/m (No. 12)
Symmetry-distinct sites (fractional):
Ho (0.000, 0.000, 0.000) [2 per cell]
Th (0.000, 0.173, 0.500) [4 per cell]
Th (0.000, 0.334, 0.000) [4 per cell]
Th (0.000, 0.500, 0.500) [2 per cell]
Se (0.239, 0.000, 0.750) [4 per cell]
Se (0.241, 0.162, 0.241) [8 per cell]



15.
First-principles (PBE-GGA) data for a relaxed structure of TmTaNi2, as listed in Alexandria via LeMat-Bulk.

Output
Crystal system = tetragonal
Formation enthalpy at 0 K = -0.266 eV/atom
Energy above the lowest structure with this stoichiometry = 0 meV/atom
Spin magnetization = 0.000 μB per atom
Calculated density = 11.7 Mg/m³

Cell lengths 3.175, 3.175, 6.606 Å; angles 90.00, 90.00, 90.00 degrees
Space group P4/mmm (No. 123)
Symmetry-distinct sites (fractional):
Tm (0.000, 0.000, 0.000) [1 per cell]
Ta (0.000, 0.000, 0.500) [1 per cell]
Ni (0.500, 0.500, 0.300) [2 per cell]



16.
First-principles (PBE-GGA) data for a relaxed structure of TmGaSb, as listed in Alexandria via LeMat-Bulk.

Output
Crystal system = tetragonal
Energy above the lowest structure with this stoichiometry = 0 meV/atom
Energy relative to the elements, uncorrected = -0.49 eV/atom
Spin magnetization = 0.000 μB per atom
Calculated density = 6.9 Mg/m³

Cell lengths 4.135, 4.135, 20.330 Å; angles 90.00, 90.00, 90.00 degrees
Space group I4/mmm (No. 139)
Symmetry-distinct sites (fractional):
Tm (0.000, 0.000, 0.132) [4 per cell]
Ga (0.000, 0.000, 0.272) [4 per cell]
Sb (0.000, 0.000, 0.407) [4 per cell]



17.
First-principles (PBE-GGA) data for a relaxed structure of ScSn3, as listed in Alexandria via LeMat-Bulk.

Output
Crystal system = tetragonal
Formation enthalpy at 0 K = -0.259 eV/atom
Spin magnetization = 0.000 μB per atom
Calculated density = 6.7 Mg/m³

Cell lengths 4.417, 4.417, 10.156 Å; angles 90.00, 90.00, 90.00 degrees
Space group I4/mmm (No. 139)
Symmetry-distinct sites (fractional):
Sc (0.000, 0.000, 0.000) [2 per cell]
Sn (0.000, 0.000, 0.500) [2 per cell]
Sn (0.000, 0.500, 0.250) [4 per cell]



18.
First-principles (PBE-GGA) data for a relaxed structure of Tl2ReRu, as listed in Alexandria via LeMat-Bulk.

Output
Crystal system = trigonal
Formation enthalpy at 0 K = 0.961 eV/atom
Energy above the lowest structure with this stoichiometry = 526 meV/atom
Spin magnetization = 0.055 μB per atom
Calculated density = 15.6 Mg/m³

Cell lengths 3.0958, 3.0958, 26.7557 Å; angles 90.00, 90.00, 120.00 degrees
Space group R-3m (No. 166, hexagonal axes)
Symmetry-distinct sites (fractional):
Tl (0.0000, 0.0000, 0.2478) [6 per cell]
Re (0.0000, 0.0000, 0.0000) [3 per cell]
Ru (0.0000, 0.0000, 0.5000) [3 per cell]



19.
First-principles (PBE-GGA) data for a relaxed structure of BePt2, as listed in Alexandria via LeMat-Bulk.

Output
Crystal system = trigonal
Formation enthalpy at 0 K = -0.513 eV/atom
Spin magnetization = 0.000 μB per atom
Calculated density = 16.4 Mg/m³

Cell lengths 2.7574, 2.7574, 6.1383 Å; angles 90.00, 90.00, 120.00 degrees
Space group P-3m1 (No. 164)
Symmetry-distinct sites (fractional):
Be (0.0000, 0.0000, 0.0000) [1 per cell]
Pt (0.3333, 0.6667, 0.2883) [2 per cell]



20.
First-principles (PBE-GGA) data for a relaxed structure of PbS3F, as listed in Alexandria via LeMat-Bulk.

Output
Crystal system = cubic
Energy above the lowest structure with this stoichiometry = 0 meV/atom
Energy relative to the elements, uncorrected = 0.37 eV/atom
Spin magnetization = 0.000 μB per atom
Calculated density = 5.6 Mg/m³

Cell lengths 4.565, 4.565, 4.565 Å; angles 90.00, 90.00, 90.00 degrees
Space group Pm-3m (No. 221)
Symmetry-distinct sites (fractional):
Pb (0.000, 0.000, 0.000) [1 per cell]
S (0.000, 0.500, 0.500) [3 per cell]
F (0.500, 0.500, 0.500) [1 per cell]



Computed Fermi-level density of states (states/eV per atom) in order:
0.89 0.89 0.96 0.74 1.23 0.54 0.34 0.90 0.49 0.76 0.52 1.38 0.31 0.71 0.85 0.30 0.86 0.96 0.47 0.82